1.
# Sr3Li6Mg2 (GGA-PBE, relaxed)
# Formation enthalpy at 0 K (eV per atom): -0.0237
# Magnetization (μB/cell): 0.0
# E_tot (eV/atom): -1.82
# DOS at the Fermi energy (states/eV/f.u.): 8.4
data_Sr3Li6Mg2
_chemical_formula_sum 'Sr12 Li24 Mg8'
_space_group_name_H-M_alt 'I m -3 m'
_space_group_IT_number 229
_space_group_name_Hall '-I 4 2 3'
_cell_length_a 10.957
_cell_length_b 10.957
_cell_length_c 10.957
_cell_angle_alpha 90.00
_cell_angle_beta 90.00
_cell_angle_gamma 90.00
loop_
_atom_site_label
_atom_site_type_symbol
_atom_site_fract_x
_atom_site_fract_y
_atom_site_fract_z
Sr1 Sr 0.000 0.000 0.273
Li1 Li 0.000 0.337 0.337
Mg1 Mg 0.250 0.250 0.250


2.
# Sc2NbTlN (GGA-PBE, relaxed)
# Magnetization (μB/cell): 0.0
# E_form (uncorrected) (eV/atom): -0.78
# E_tot (eV/atom): -7.46
# DOS at the Fermi energy (states/eV/f.u.): 2.3
data_Sc2NbTlN
_chemical_formula_sum 'Sc2 Nb1 Tl1 N1'
_space_group_name_H-M_alt 'P 4/m m m'
_space_group_IT_number 123
_space_group_name_Hall '-P 4 2'
_cell_length_a 4.533
_cell_length_b 4.533
_cell_length_c 4.240
_cell_angle_alpha 90.00
_cell_angle_beta 90.00
_cell_angle_gamma 90.00
loop_
_atom_site_label
_atom_site_type_symbol
_atom_site_fract_x
_atom_site_fract_y
_atom_site_fract_z
Sc1 Sc 0.000 0.500 0.000
Nb1 Nb 0.000 0.000 0.500
Tl1 Tl 0.500 0.500 0.500
N1 N 0.000 0.000 0.000


3.
# YSbN2F (GGA-PBE, relaxed)
# Magnetization (μB/cell): 0.0
# E_form (uncorrected) (eV/atom): -0.26
# E_tot (eV/atom): -6.08
# DOS at the Fermi energy (states/eV/f.u.): 2.2
data_YSbN2F
_chemical_formula_sum 'Y1 Sb1 N2 F1'
_space_group_name_H-M_alt 'P 4/m m m'
_space_group_IT_number 123
_space_group_name_Hall '-P 4 2'
_cell_length_a 4.509
_cell_length_b 4.509
_cell_length_c 4.191
_cell_angle_alpha 90.00
_cell_angle_beta 90.00
_cell_angle_gamma 90.00
loop_
_atom_site_label
_atom_site_type_symbol
_atom_site_fract_x
_atom_site_fract_y
_atom_site_fract_z
Y1 Y 0.000 0.000 0.000
Sb1 Sb 0.500 0.500 0.500
N1 N 0.000 0.500 0.000
F1 F 0.000 0.000 0.500


4.
# LiYGe2 (GGA-PBE, relaxed)
# Formation enthalpy at 0 K (eV per atom): -0.4363
# Magnetization (μB/cell): 0.0
# E_tot (eV/atom): -4.84
# DOS at the Fermi energy (states/eV/f.u.): 2.8
data_LiYGe2
_chemical_formula_sum 'Li1 Y1 Ge2'
_space_group_name_H-M_alt 'P 4/m m m'
_space_group_IT_number 123
_space_group_name_Hall '-P 4 2'
_cell_length_a 3.492
_cell_length_b 3.492
_cell_length_c 6.358
_cell_angle_alpha 90.00
_cell_angle_beta 90.00
_cell_angle_gamma 90.00
loop_
_atom_site_label
_atom_site_type_symbol
_atom_site_fract_x
_atom_site_fract_y
_atom_site_fract_z
Li1 Li 0.000 0.000 0.000
Y1 Y 0.000 0.000 0.500
Ge1 Ge 0.500 0.500 0.206